Record 1
Entry from Alexandria via LeMat-Bulk: a relaxed structure of Er6Al2Rh (PBE).

Its formation energy is -0.221 eV per atom. The raw total energy is -4.9118 eV per atom. The calculated volume is 28.18 A^3/atom.

It has space group Immm (No. 71), with a = 4.945 Å, b = 7.032 Å, c = 14.587 Å, α = 90.00°, β = 90.00° and γ = 90.00°. The asymmetric unit holds Er at (0.000, 0.236, 0.000), Er at (0.000, 0.257, 0.342), Al at (0.000, 0.500, 0.168) and Rh at (0.000, 0.500, 0.500).



Record 2
Entry from Alexandria via LeMat-Bulk: a relaxed structure of YCrRu2 (PBE).

Its energy above the most stable polymorph in this dataset is 0.376 eV per atom. Its formation energy is 0.399 eV per atom. The raw total energy is -8.2611 eV per atom. The calculated volume is 16.94 A^3/atom.

It has space group R-3m (No. 166, hexagonal axes), with a = 3.1104 Å, b = 3.1104 Å, c = 24.2650 Å, α = 90.00°, β = 90.00° and γ = 120.00°. The asymmetric unit holds Y at (0.0000, 0.0000, 0.0000), Cr at (0.0000, 0.0000, 0.5000) and Ru at (0.0000, 0.0000, 0.2365).



Record 3
Entry from Alexandria via LeMat-Bulk: a relaxed structure of Nb2Cd2H (PBE).

Its energy above the most stable polymorph in this dataset is 0.000 eV per atom. The raw total energy is -4.8445 eV per atom. The calculated volume is 16.92 A^3/atom.

It has space group P4/mbm (No. 127), with a = 5.651 Å, b = 5.651 Å, c = 5.298 Å, α = 90.00°, β = 90.00° and γ = 90.00°. The asymmetric unit holds Nb at (0.158, 0.342, 0.000), Cd at (0.172, 0.672, 0.500) and H at (0.000, 0.000, 0.000).



Record 4
Entry from Alexandria via LeMat-Bulk: a relaxed structure of LaZr2Zn (PBE).

Its formation energy is 0.082 eV per atom. The raw total energy is -5.7420 eV per atom. The calculated volume is 23.36 A^3/atom.

It has space group Cm (No. 8), with a = 10.717 Å, b = 3.336 Å, c = 5.373 Å, α = 90.00°, β = 103.44° and γ = 90.00°. The asymmetric unit holds La at (0.000, 0.000, 0.000), Zr at (0.031, 0.500, 0.531), Zr at (0.275, 0.500, 0.257) and Zn at (0.257, 0.000, 0.715).



Record 5
Entry from Alexandria via LeMat-Bulk: a relaxed structure of Rb2Te3Se4 (PBE).

The raw total energy is -3.2140 eV per atom. The energy relative to the elements, uncorrected is -3.628 eV per formula unit. The calculated volume is 36.37 A^3/atom.

It has space group C2/c (No. 15), with a = 11.699 Å, b = 12.195 Å, c = 9.692 Å, α = 90.00°, β = 108.75° and γ = 90.00°. The asymmetric unit holds Rb at (0.148, 0.144, 0.171), Te at (0.000, 0.125, 0.750), Te at (0.131, 0.399, 0.444), Se at (0.076, 0.400, 0.879) and Se at (0.151, 0.148, 0.579).



Record 6
Entry from Alexandria via LeMat-Bulk: a relaxed structure of ZrIn2Co (PBE).

Its formation energy is 0.049 eV per atom. The raw total energy is -5.2333 eV per atom. The calculated volume is 19.66 A^3/atom.

It has space group P2/m (No. 10), with a = 3.172 Å, b = 4.474 Å, c = 5.680 Å, α = 90.00°, β = 102.64° and γ = 90.00°. The asymmetric unit holds Zr at (0.000, 0.000, 0.000), In at (0.361, 0.500, 0.732) and Co at (0.500, 0.000, 0.500).